(1)
The following is a DFT calculation (GGA-PBE) of an optimized crystal structure of Rb2TlRe.

Geometry as extended XYZ:
```
8
Lattice="4.426 0.000 0.000 0.000 4.426 0.000 2.213 2.213 12.600" Properties=species:S:1:pos:R:3 pbc="T T T"
Re 2.213 2.213 0.000
Re 2.213 4.426 6.300
Tl 0.000 0.000 0.000
Tl 4.426 2.213 6.300
Rb 3.307 1.106 3.150
Rb 1.119 3.319 3.150
Rb 3.319 3.332 9.450
Rb 5.532 5.519 9.450
```

Output
The electronic total energy is -2.6717 eV/atom. The calculated formation energy is 6.06 eV/f.u. As for the crystal system: tetragonal. The calculation puts the size of the total moment at 4.00 Bohr magnetons per cell.

=====

(2)
The following is a DFT calculation (GGA-PBE) of an optimized crystal structure of RbTlRe2.

Geometry as extended XYZ:
```
8
Lattice="8.518 0.000 0.000 0.000 8.518 0.000 4.259 4.259 2.702" Properties=species:S:1:pos:R:3 pbc="T T T"
Re 6.751 2.130 0.675
Re 1.767 6.389 0.675
Re 6.389 6.026 2.026
Re 10.648 11.010 2.026
Tl 0.000 0.000 0.000
Tl 8.518 4.259 1.351
Rb 4.259 4.259 0.000
Rb 4.259 8.518 1.351
```

Output
The electronic total energy is -4.7654 eV/atom. The calculated formation energy is 9.17 eV/f.u. As for the crystal system: tetragonal. The calculation puts the size of the total moment at 3.61 Bohr magnetons per cell.

=====

(3)
The following is a DFT calculation (GGA-PBE) of an optimized crystal structure of Rb2TlRe.

Geometry as extended XYZ:
```
4
Lattice="0.000 4.245 4.245 4.245 0.000 4.245 4.245 4.245 0.000" Properties=species:S:1:pos:R:3 pbc="T T T"
Re 0.000 0.000 0.000
Tl 4.245 4.245 4.245
Rb 2.122 2.122 2.122
Rb 6.367 6.367 6.367
```

Output
The electronic total energy is -2.6909 eV/atom. The calculated formation energy is 5.99 eV/f.u. As for the crystal system: cubic. The calculation puts the size of the total moment at 2.84 Bohr magnetons per cell.

=====

(4)
The following is a DFT calculation (GGA-PBE) of an optimized crystal structure of Rb3TlRe.

Geometry as extended XYZ:
```
5
Lattice="6.680 0.000 0.000 0.000 6.680 0.000 0.000 0.000 6.680" Properties=species:S:1:pos:R:3 pbc="T T T"
Re 0.000 0.000 0.000
Tl 3.340 3.340 3.340
Rb 0.000 3.340 0.000
Rb 0.000 0.000 3.340
Rb 3.340 0.000 0.000
```

Output
The electronic total energy is -2.1355 eV/atom. The calculated formation energy is 7.04 eV/f.u. As for the crystal system: cubic. The calculation puts the size of the total moment at 2.00 Bohr magnetons per cell.

=====

(5)
The following is a DFT calculation (GGA-PBE) of an optimized crystal structure of RbTl3Re.

Geometry as extended XYZ:
```
5
Lattice="-1.178 4.547 2.704 2.402 -2.008 4.424 4.713 2.160 -1.578" Properties=species:S:1:pos:R:3 pbc="T T T"
Re 0.000 0.000 0.000
Tl 1.201 -1.004 2.212
Tl 2.356 1.080 -0.789
Tl -0.589 2.273 1.352
Rb 2.968 2.349 2.774
```

Output
The electronic total energy is -3.7921 eV/atom. The calculated formation energy is 1.55 eV/f.u. As for the crystal system: cubic. The calculation puts the size of the total moment at 0.00 Bohr magnetons per cell.

=====

(6)
The following is a DFT calculation (GGA-PBE) of an optimized crystal structure of RbTl3Re.

Geometry as extended XYZ:
```
5
Lattice="6.214 0.000 0.000 0.000 6.214 0.000 0.000 0.000 6.214" Properties=species:S:1:pos:R:3 pbc="T T T"
Re 3.107 3.107 3.107
Tl 0.000 3.107 0.000
Tl 0.000 0.000 3.107
Tl 3.107 0.000 0.000
Rb 0.000 0.000 0.000
```

Output
The electronic total energy is -2.0772 eV/atom. The calculated formation energy is 10.13 eV/f.u. As for the crystal system: cubic. The calculation puts the size of the total moment at 3.58 Bohr magnetons per cell.

=====

(7)
The following is a DFT calculation (GGA-PBE) of an optimized crystal structure of RbVRe2.

Geometry as extended XYZ:
```
8
Lattice="5.040 0.000 0.000 0.000 5.040 0.000 2.520 2.520 8.426" Properties=species:S:1:pos:R:3 pbc="T T T"
Re 2.520 1.260 2.106
Re 2.520 3.780 2.106
Re 3.780 5.041 6.319
Re 6.301 5.040 6.319
Rb 0.000 0.000 0.000
Rb 5.040 2.520 4.213
V 2.520 2.520 0.000
V 2.520 5.040 4.213
```

Output
The electronic total energy is -6.9464 eV/atom. The calculated formation energy is 7.20 eV/f.u. As for the crystal system: tetragonal. The calculation puts the size of the total moment at 0.66 Bohr magnetons per cell.

=====

(8)
The following is a DFT calculation (GGA-PBE) of an optimized crystal structure of RbVRe3.

Geometry as extended XYZ:
```
5
Lattice="4.731 0.000 0.000 0.000 4.731 0.000 0.000 0.000 4.731" Properties=species:S:1:pos:R:3 pbc="T T T"
Re 0.000 2.366 0.000
Re 0.000 0.000 2.366
Re 2.366 0.000 0.000
Rb 2.366 2.366 2.366
V 0.000 0.000 0.000
```

Output
The electronic total energy is -7.4175 eV/atom. The calculated formation energy is 10.34 eV/f.u. As for the crystal system: cubic. The calculation puts the size of the total moment at 3.58 Bohr magnetons per cell.

=====

(9)
The following is a DFT calculation (GGA-PBE) of an optimized crystal structure of RbV2Re.

Geometry as extended XYZ:
```
8
Lattice="5.783 0.000 0.000 0.000 5.783 0.000 2.891 2.891 7.555" Properties=species:S:1:pos:R:3 pbc="T T T"
Re 0.000 0.000 0.000
Re 5.783 2.891 3.777
Rb 2.891 2.891 0.000
Rb 2.891 5.783 3.777
V 5.783 1.446 1.889
V 5.783 4.337 1.889
V 4.337 2.891 5.666
V 7.228 2.891 5.666
```

Output
The electronic total energy is -6.2826 eV/atom. The calculated formation energy is 6.52 eV/f.u. As for the crystal system: tetragonal. The calculation puts the size of the total moment at 8.76 Bohr magnetons per cell.

=====

(10)
The following is a DFT calculation (GGA-PBE) of an optimized crystal structure of Rb3VRe.

Geometry as extended XYZ:
```
5
Lattice="6.755 0.000 0.000 0.000 6.755 0.000 0.000 0.000 6.755" Properties=species:S:1:pos:R:3 pbc="T T T"
Re 3.377 3.377 3.377
Rb 0.000 3.377 0.000
Rb 0.000 0.000 3.377
Rb 3.377 0.000 0.000
V 0.000 0.000 0.000
```

Output
The electronic total energy is -2.7347 eV/atom. The calculated formation energy is 10.80 eV/f.u. As for the crystal system: cubic. The calculation puts the size of the total moment at 9.66 Bohr magnetons per cell.

=====

(11)
The following is a DFT calculation (GGA-PBE) of an optimized crystal structure of RbVRe2.

Geometry as extended XYZ:
```
4
Lattice="-1.309 3.387 2.809 -1.499 3.975 -1.740 -4.439 1.121 0.331" Properties=species:S:1:pos:R:3 pbc="T T T"
Re -1.812 2.121 0.350
Re -5.435 6.362 1.050
Rb -3.624 4.241 0.700
V 0.000 0.000 0.000
```

Output
The electronic total energy is -6.8180 eV/atom. The calculated formation energy is 7.71 eV/f.u. As for the crystal system: cubic. The calculation puts the size of the total moment at 0.00 Bohr magnetons per cell.

=====

(12)
The following is a DFT calculation (GGA-PBE) of an optimized crystal structure of RbV3Re.

Geometry as extended XYZ:
```
5
Lattice="-1.069 -3.337 2.671 4.149 -0.149 1.476 -1.028 2.873 3.178" Properties=species:S:1:pos:R:3 pbc="T T T"
Re 1.026 -0.306 3.662
Rb 0.000 0.000 0.000
V 2.074 -0.074 0.738
V -0.514 1.436 1.589
V -0.535 -1.669 1.335
```

Output
The electronic total energy is -5.2975 eV/atom. The calculated formation energy is 14.28 eV/f.u. As for the crystal system: cubic. The calculation puts the size of the total moment at 0.00 Bohr magnetons per cell.